Entry from Alexandria: a geometry-optimized Ac6Co2GeBr3 structure (PBE-GGA).

Results
E = -4.907 eV/atom
M_tot = 0.0 μB/cell
N(E_F) = 4.55 states/eV/f.u.
Energy relative to the elements, uncorrected = -0.8654 eV per atom

a = 20.3580 Å, b = 4.3344 Å, c = 9.6902 Å
α = 90.00°, β = 109.64°, γ = 90.00°
Space group C2/m (No. 12)
Symmetry-distinct sites (fractional):
Ac 0.0213 0.0000 0.2426 (multiplicity 4)
Ac 0.1638 0.5000 0.1316 (multiplicity 4)
Ac 0.1811 0.5000 0.5510 (multiplicity 4)
Co 0.1698 0.0000 0.3406 (multiplicity 4)
Ge 0.0000 0.5000 0.0000 (multiplicity 2)
Br 0.0000 0.5000 0.5000 (multiplicity 2)
Br 0.1598 0.0000 0.8417 (multiplicity 4)